Density functional theory data (GGA-PBE) for a relaxed structure of CdSiSn2Mo.

Calculated values
- total magnetic moment (μB/atom) = 0.8004
- final energy (eV/atom) = -3.58
- calculated density (Mg/m³) = 5.39
- space-group type = P4/mmm
- formation energy from raw total energies (meV/atom) = 1456

abc: 5.464 5.464 4.893
angles: 90.00 90.00 90.00
Element x y z (fractional)
Cd 0.000 0.000 0.000
Si 0.000 0.000 0.500
Sn 0.000 0.500 0.000
Sn 0.500 0.000 0.000
Mo 0.500 0.500 0.500